First-principles (GGA-PBE) data for a geometry-optimized Ca2PRh3 structure, as listed in Alexandria.

Structure (POSCAR):
```
Ca2PRh3
1.0
2.765 1.596 3.878
-2.765 1.596 3.878
0.000 -3.192 3.878
Ca P Rh
2 1 3
Direct
0.127 0.127 0.127
0.873 0.873 0.873
0.500 0.500 0.500
0.000 0.500 0.500
0.500 0.000 0.500
0.500 0.500 0.000
```

- Energy above the lowest structure with this stoichiometry: 0.000 eV per atom
- Total magnetic moment: 0.0 μB/cell
- Crystal system: trigonal
- Formation energy: -719 meV per atom
- Raw total energy: -5.96 eV per atom
- Symmetry: R-3m

=====

First-principles (GGA-PBE) data for a geometry-optimized Ba2In12HgIr3 structure, as listed in Alexandria.

Structure (POSCAR):
```
Ba2In12HgIr3
1.0
5.064 2.924 6.831
-5.064 2.924 6.831
0.000 -5.847 6.831
Ba In Hg Ir
2 12 1 3
Direct
0.104 0.104 0.104
0.896 0.896 0.896
0.127 0.631 0.631
0.227 0.227 0.571
0.227 0.571 0.227
0.369 0.369 0.873
0.369 0.873 0.369
0.429 0.773 0.773
0.571 0.227 0.227
0.631 0.127 0.631
0.631 0.631 0.127
0.773 0.429 0.773
0.773 0.773 0.429
0.873 0.369 0.369
0.500 0.500 0.500
0.000 0.500 0.500
0.500 0.000 0.500
0.500 0.500 0.000
```

- Total magnetic moment: 0.0 μB/cell
- Crystal system: trigonal
- Formation energy: -26 meV per atom
- Raw total energy: -3.56 eV per atom
- Symmetry: R-3m

=====

First-principles (GGA-PBE) data for a geometry-optimized CdGeSe3 structure, as listed in Alexandria.

Structure (POSCAR):
```
CdGeSe3
1.0
6.678 -1.948 0.000
6.678 1.948 0.000
-0.914 0.000 10.885
Cd Ge Se
2 2 6
Direct
0.150 0.150 0.382
0.850 0.850 0.618
0.415 0.415 0.225
0.585 0.585 0.775
0.155 0.155 0.889
0.355 0.355 0.427
0.407 0.407 0.781
0.593 0.593 0.219
0.645 0.645 0.573
0.845 0.845 0.111
```

- Energy above the lowest structure with this stoichiometry: 0.000 eV per atom
- Total magnetic moment: 0.0 μB/cell
- Crystal system: monoclinic
- Raw total energy: -3.54 eV per atom
- Formation energy without anion corrections: -163 kJ/mol of formula units
- Symmetry: C2/m

=====

First-principles (GGA-PBE) data for a geometry-optimized LaY5Cd6 structure, as listed in Alexandria.

Structure (POSCAR):
```
LaY5Cd6
1.0
2.665 -8.023 0.000
2.665 8.023 0.000
0.000 0.000 7.605
La Y Cd
1 5 6
Direct
0.000 0.000 0.000
0.000 0.000 0.500
0.332 0.668 0.000
0.337 0.663 0.500
0.663 0.337 0.500
0.668 0.332 0.000
0.171 0.829 0.258
0.171 0.829 0.742
0.500 0.500 0.257
0.500 0.500 0.743
0.829 0.171 0.258
0.829 0.171 0.742
```

- Total magnetic moment: 0.5 μB/cell
- Crystal system: orthorhombic
- Formation energy: -341 meV per atom
- Raw total energy: -3.90 eV per atom
- Symmetry: Cmmm

=====

First-principles (GGA-PBE) data for a geometry-optimized FeSiSb2I structure, as listed in Alexandria.

Structure (POSCAR):
```
FeSiSb2I
1.0
5.195 0.000 0.000
0.000 5.195 0.000
0.000 0.000 5.339
Fe Si Sb I
1 1 2 1
Direct
0.000 0.000 0.000
0.500 0.500 0.500
0.000 0.500 0.500
0.500 0.000 0.500
0.500 0.500 0.000
```

- Energy above the lowest structure with this stoichiometry: 0.629 eV per atom
- Total magnetic moment: 0.2 μB/cell
- Crystal system: tetragonal
- Raw total energy: -3.36 eV per atom
- Formation energy without anion corrections: 666 kJ/mol of formula units
- Symmetry: P4/mmm

=====

First-principles (GGA-PBE) data for a geometry-optimized HOsN3 structure, as listed in Alexandria.

Structure (POSCAR):
```
HOsN3
1.0
3.815 0.000 0.000
0.000 3.815 0.000
0.000 0.000 3.815
H Os N
1 1 3
Direct
0.000 0.000 0.000
0.500 0.500 0.500
0.000 0.500 0.500
0.500 0.000 0.500
0.500 0.500 0.000
```

- Total magnetic moment: 0.4 μB/cell
- Crystal system: cubic
- Raw total energy: -6.35 eV per atom
- Symmetry: Pm-3m